## P
Compound: Hf2Zn2Se
Source: Alexandria
Functional: PBE-GGA
Structure: optimized geometry Values from VASP.

Cell and atoms, written as Quantum ESPRESSO input:
```
&SYSTEM
  ibrav = 0, nat = 5, ntyp = 3
/
ATOMIC_SPECIES
Zn 65.41 Zn.upf
Hf 178.49 Hf.upf
Se 78.96 Se.upf
CELL_PARAMETERS angstrom
4.388 0.000 0.000
0.000 4.388 0.000
2.194 2.194 5.604
ATOMIC_POSITIONS crystal
Zn 0.396 0.396 0.209
Zn 0.604 0.604 0.791
Hf 0.750 0.250 0.500
Hf 0.250 0.750 0.500
Se 0.000 0.000 0.000
```

Computed properties:
Crystal system: tetragonal

---

## Q
Compound: Hf2Zn2Se
Source: Alexandria
Functional: PBE-GGA
Structure: optimized geometry Values from VASP.

Cell and atoms, written as Quantum ESPRESSO input:
```
&SYSTEM
  ibrav = 0, nat = 10, ntyp = 3
/
ATOMIC_SPECIES
Zn 65.41 Zn.upf
Hf 178.49 Hf.upf
Se 78.96 Se.upf
CELL_PARAMETERS angstrom
7.026 0.000 0.000
0.000 7.026 0.000
0.000 0.000 3.787
ATOMIC_POSITIONS crystal
Zn 0.376 0.876 0.000
Zn 0.876 0.624 0.000
Zn 0.624 0.124 0.000
Zn 0.124 0.376 0.000
Hf 0.172 0.672 0.500
Hf 0.672 0.828 0.500
Hf 0.828 0.328 0.500
Hf 0.328 0.172 0.500
Se 0.000 0.000 0.000
Se 0.500 0.500 0.000
```

Computed properties:
Crystal system: tetragonal

---

Relative energies, meV per atom: P 420; Q 0.

---

## P
Compound: Hf2ZnSe
Source: Alexandria
Functional: PBE-GGA
Structure: optimized geometry Values from VASP.

Cell and atoms, written as Quantum ESPRESSO input:
```
&SYSTEM
  ibrav = 0, nat = 4, ntyp = 3
/
ATOMIC_SPECIES
Hf 178.49 Hf.upf
Zn 65.41 Zn.upf
Se 78.96 Se.upf
CELL_PARAMETERS angstrom
-0.744 3.083 1.325
-3.125 0.605 1.296
1.148 -1.196 7.883
ATOMIC_POSITIONS crystal
Hf 0.080 0.080 0.759
Hf 0.253 0.253 0.241
Zn 0.499 0.499 0.502
Se 0.667 0.667 0.998
```

Computed properties:
Crystal system: trigonal

---

## Q
Compound: Hf2ZnSe
Source: Alexandria
Functional: PBE-GGA
Structure: optimized geometry Values from VASP.

Cell and atoms, written as Quantum ESPRESSO input:
```
&SYSTEM
  ibrav = 0, nat = 8, ntyp = 3
/
ATOMIC_SPECIES
Zn 65.41 Zn.upf
Hf 178.49 Hf.upf
Se 78.96 Se.upf
CELL_PARAMETERS angstrom
-0.255 -4.057 3.988
0.718 -3.983 -4.006
6.665 -3.651 0.778
ATOMIC_POSITIONS crystal
Zn 0.500 0.500 0.000
Zn 0.250 0.750 0.500
Hf 0.611 0.125 0.250
Hf 0.139 0.625 0.250
Hf 0.375 0.389 0.750
Hf 0.875 0.861 0.750
Se 0.000 0.000 0.000
Se 0.750 0.250 0.500
```

Computed properties:
Crystal system: tetragonal

---

## R
Compound: Hf2ZnSe
Source: Alexandria
Functional: PBE-GGA
Structure: optimized geometry Values from VASP.

Cell and atoms, written as Quantum ESPRESSO input:
```
&SYSTEM
  ibrav = 0, nat = 4, ntyp = 3
/
ATOMIC_SPECIES
Zn 65.41 Zn.upf
Hf 178.49 Hf.upf
Se 78.96 Se.upf
CELL_PARAMETERS angstrom
0.000 3.339 3.339
3.339 0.000 3.339
3.339 3.339 0.000
ATOMIC_POSITIONS crystal
Zn 0.000 0.000 0.000
Hf 0.250 0.250 0.250
Hf 0.750 0.750 0.750
Se 0.500 0.500 0.500
```

Computed properties:
Crystal system: cubic

---

Relative energies, meV per atom: P 0; Q 665; R 104.

---

## P
Compound: HfZr3Se
Source: Alexandria
Functional: PBE-GGA
Structure: optimized geometry Values from VASP.

Cell and atoms, written as Quantum ESPRESSO input:
```
&SYSTEM
  ibrav = 0, nat = 5, ntyp = 3
/
ATOMIC_SPECIES
Hf 178.49 Hf.upf
Se 78.96 Se.upf
Zr 91.22 Zr.upf
CELL_PARAMETERS angstrom
5.183 0.000 0.000
0.000 5.183 0.000
0.000 0.000 5.183
ATOMIC_POSITIONS crystal
Hf 0.000 0.000 0.000
Se 0.500 0.500 0.500
Zr 0.000 0.500 0.000
Zr 0.000 0.000 0.500
Zr 0.500 0.000 0.000
```

Computed properties:
Crystal system: cubic

---

## Q
Compound: HfZr3Se
Source: Alexandria
Functional: PBE-GGA
Structure: optimized geometry Values from VASP.

Cell and atoms, written as Quantum ESPRESSO input:
```
&SYSTEM
  ibrav = 0, nat = 5, ntyp = 3
/
ATOMIC_SPECIES
Hf 178.49 Hf.upf
Se 78.96 Se.upf
Zr 91.22 Zr.upf
CELL_PARAMETERS angstrom
4.987 0.000 0.000
0.000 4.987 0.000
0.000 0.000 4.987
ATOMIC_POSITIONS crystal
Hf 0.500 0.500 0.500
Se 0.000 0.000 0.000
Zr 0.000 0.500 0.000
Zr 0.000 0.000 0.500
Zr 0.500 0.000 0.000
```

Computed properties:
Crystal system: cubic

---

Relative energies, meV per atom: P 1095; Q 0.